A plane-wave DFT calculation with PBEsol was carried out for an optimized crystal structure of CaCo2Se.

N(E_F) = 9.378 states/eV per cell
formation energy from raw total energies = 128 meV/atom
total magnetization = 2.2 μB/f.u.
raw total energy = -41.89 eV/cell

```
CaCo2Se
1.0
3.090 0.000 0.000
0.000 4.651 0.000
0.000 0.000 8.733
Ca Co Se
2 4 2
Direct
0.000 0.000 0.000
0.500 0.500 0.500
0.000 0.500 0.213
0.000 0.500 0.787
0.500 0.000 0.287
0.500 0.000 0.713
0.000 0.000 0.500
0.500 0.500 0.000
```